Computed, not measured: crystalline MgIn3 at its relaxed geometry at the GGA-PBEsol level of DFT.

final energy = -10.93 eV per formula unit
ΔE_f = -0.07 eV per atom
total magnetic moment = 0.00 μB per cell

Cell lengths 4.517, 4.517, 9.388 Å; angles 90.00, 90.00, 90.00 degrees
Space group I4/mmm (No. 139)
Symmetry-distinct sites (fractional):
Mg: 0.000 0.000 0.000 (multiplicity 2)
In: 0.000 0.000 0.500 (multiplicity 2)
In: 0.000 0.500 0.250 (multiplicity 4)


Computed, not measured: crystalline ScFeTe2 at its relaxed geometry at the GGA-PBEsol level of DFT.

formation energy without anion corrections = -0.49 eV/atom
final energy = -24.57 eV per formula unit
total magnetic moment = 2.66 μB per cell

Cell lengths 3.711, 3.711, 6.497 Å; angles 90.00, 90.00, 90.00 degrees
Space group P4mm (No. 99)
Symmetry-distinct sites (fractional):
Sc: 0.000 0.000 0.000 (multiplicity 1)
Fe: 0.500 0.500 0.733 (multiplicity 1)
Te: 0.000 0.000 0.576 (multiplicity 1)
Te: 0.500 0.500 0.153 (multiplicity 1)


Computed, not measured: crystalline Cs3FeF6 at its relaxed geometry at the GGA-PBEsol level of DFT.

formation energy without anion corrections = -2.44 eV/atom
final energy = -47.72 eV per formula unit
total magnetic moment = 2.00 μB per cell

Cell lengths 6.342, 6.342, 9.935 Å; angles 90.00, 90.00, 90.00 degrees
Space group I4/mmm (No. 139)
Symmetry-distinct sites (fractional):
Cs: 0.000 0.000 0.000 (multiplicity 2)
Cs: 0.000 0.500 0.250 (multiplicity 4)
Fe: 0.000 0.000 0.500 (multiplicity 2)
F: 0.000 0.000 0.306 (multiplicity 4)
F: 0.000 0.291 0.500 (multiplicity 8)


Computed, not measured: crystalline FeAgPt2 at its relaxed geometry at the GGA-PBEsol level of DFT.

final energy = -26.08 eV per formula unit
ΔE_f = 0.03 eV per atom
total magnetic moment = 9.70 μB per cell

Cell lengths 2.7274, 2.7274, 27.1490 Å; angles 90.00, 90.00, 120.00 degrees
Space group R3m (No. 160, hexagonal axes)
Symmetry-distinct sites (fractional):
Fe: 0.0000 0.0000 0.0000 (multiplicity 3)
Ag: 0.0000 0.0000 0.7489 (multiplicity 3)
Pt: 0.0000 0.0000 0.2578 (multiplicity 3)
Pt: 0.0000 0.0000 0.5032 (multiplicity 3)


Computed, not measured: crystalline PPt2Cl at its relaxed geometry at the GGA-PBEsol level of DFT.

formation energy without anion corrections = 0.14 eV/atom
final energy = -21.18 eV per formula unit
distance to the lowest polymorph of the same formula = 222 meV/atom
total magnetic moment = 0.00 μB per cell

Cell lengths 3.014, 6.338, 7.683 Å; angles 90.00, 90.00, 90.00 degrees
Space group Immm (No. 71)
Symmetry-distinct sites (fractional):
P: 0.000 0.000 0.000 (multiplicity 2)
Pt: 0.000 0.500 0.284 (multiplicity 4)
Cl: 0.000 0.000 0.500 (multiplicity 2)


Computed, not measured: crystalline ReRuSe2 at its relaxed geometry at the GGA-PBEsol level of DFT.

formation energy without anion corrections = 0.35 eV/atom
final energy = -29.79 eV per formula unit
distance to the lowest polymorph of the same formula = 0 meV/atom
total magnetic moment = 0.00 μB per cell

Cell lengths 3.084, 3.084, 6.175 Å; angles 90.00, 90.00, 90.00 degrees
Space group P4/mmm (No. 123)
Symmetry-distinct sites (fractional):
Re: 0.000 0.000 0.000 (multiplicity 1)
Ru: 0.000 0.000 0.500 (multiplicity 1)
Se: 0.500 0.500 0.249 (multiplicity 2)


Computed, not measured: crystalline RbPbC3 at its relaxed geometry at the GGA-PBEsol level of DFT.

final energy = -18.91 eV per formula unit
ΔE_f = 3.01 eV per atom
total magnetic moment = 1.03 μB per cell

Cell lengths 4.630, 4.630, 4.630 Å; angles 90.00, 90.00, 90.00 degrees
Space group Pm-3m (No. 221)
Symmetry-distinct sites (fractional):
Rb: 0.000 0.000 0.000 (multiplicity 1)
Pb: 0.500 0.500 0.500 (multiplicity 1)
C: 0.000 0.500 0.500 (multiplicity 3)


Computed, not measured: crystalline ZnCrP2S at its relaxed geometry at the GGA-PBEsol level of DFT.

formation energy without anion corrections = 0.40 eV/atom
final energy = -25.81 eV per formula unit
total magnetic moment = 0.00 μB per cell

Cell lengths 4.377, 4.377, 4.486 Å; angles 90.00, 90.00, 90.00 degrees
Space group P4/mmm (No. 123)
Symmetry-distinct sites (fractional):
Zn: 0.000 0.000 0.000 (multiplicity 1)
Cr: 0.500 0.500 0.500 (multiplicity 1)
P: 0.000 0.500 0.500 (multiplicity 2)
S: 0.500 0.500 0.000 (multiplicity 1)


Computed, not measured: crystalline CaY2In at its relaxed geometry at the GGA-PBEsol level of DFT.

final energy = -19.77 eV per formula unit
ΔE_f = -0.25 eV per atom
total magnetic moment = 0.00 μB per cell

Cell lengths 3.767, 5.413, 11.648 Å; angles 90.00, 90.00, 90.00 degrees
Space group Immm (No. 71)
Symmetry-distinct sites (fractional):
Ca: 0.000 0.000 0.000 (multiplicity 2)
Y: 0.000 0.500 0.217 (multiplicity 4)
In: 0.000 0.000 0.500 (multiplicity 2)


Computed, not measured: crystalline Zn2CuSi at its relaxed geometry at the GGA-PBEsol level of DFT.

formation energy without anion corrections = 0.07 eV/atom
final energy = -12.97 eV per formula unit
total magnetic moment = 0.00 μB per cell

Cell lengths 3.100, 3.585, 4.885 Å; angles 90.00, 90.00, 90.00 degrees
Space group Pmmm (No. 47)
Symmetry-distinct sites (fractional):
Zn: 0.000 0.000 0.247 (multiplicity 2)
Cu: 0.500 0.500 0.000 (multiplicity 1)
Si: 0.500 0.500 0.500 (multiplicity 1)


> Which of these has the highest total magnetic moment?

FeAgPt2


What did the fourth record say?
Computed, not measured: crystalline FeAgPt2 at its relaxed geometry at the GGA-PBEsol level of DFT.

final energy = -26.08 eV per formula unit
ΔE_f = 0.03 eV per atom
total magnetic moment = 9.70 μB per cell

Cell lengths 2.7274, 2.7274, 27.1490 Å; angles 90.00, 90.00, 120.00 degrees
Space group R3m (No. 160, hexagonal axes)
Symmetry-distinct sites (fractional):
Fe: 0.0000 0.0000 0.0000 (multiplicity 3)
Ag: 0.0000 0.0000 0.7489 (multiplicity 3)
Pt: 0.0000 0.0000 0.2578 (multiplicity 3)
Pt: 0.0000 0.0000 0.5032 (multiplicity 3)